1.
VASP calculation (PBE) on a relaxed structure of Tb6Pr3Nd2Sm.

a = 6.2948 Å, b = 6.2948 Å, c = 11.9288 Å
α = 95.03°, β = 95.03°, γ = 120.00°
Fractional positions:
Pr1 0.5000 0.5000 0.5000
Nd1 0.6665 0.3335 0.0000
Tb1 0.7498 0.7498 0.2488
Tb2 0.9172 0.5841 0.7514
Tb3 0.4159 0.0828 0.2486
Tb4 0.5841 0.9172 0.7514
Tb5 0.2502 0.2502 0.7512
Pr2 0.1668 0.8332 0.5000
Tb6 0.0828 0.4159 0.2486
Pr3 0.8332 0.1668 0.5000
Sm1 0.0000 0.0000 0.0000
Nd2 0.3335 0.6665 0.0000

Crystal system   monoclinic
ρ   7.48 g/cm3
D(E_F)   1.19 states/eV/atom
Formation energy   0.011 eV per atom
Space group   C2/m, No. 12


2.
VASP calculation (PBE) on a relaxed structure of TbPr4Nd2Sm2.

a = 3.7021 Å, b = 9.7687 Å, c = 9.8661 Å
α = 115.05°, β = 90.00°, γ = 100.92°
Fractional positions:
Pr1 0.4821 0.9643 0.6691
Pr2 0.8147 0.6294 0.6689
Pr3 0.5179 0.0357 0.3309
Sm1 0.8517 0.7035 0.3311
Nd1 0.3342 0.6683 0.0014
Sm2 0.1483 0.2965 0.6689
Pr4 0.1853 0.3706 0.3311
Nd2 0.6658 0.3317 0.9986
Tb1 0.0000 0.0000 0.0000

Crystal system   monoclinic
ρ   6.89 g/cm3
D(E_F)   1.29 states/eV/atom
Formation energy   0.013 eV per atom
Space group   C2/m, No. 12